Material: BaIrF2
Method: DFT, GGA-PBE
State: relaxed

## Properties
**Energy relative to the elements, uncorrected**: -1.195 eV/atom
**Energy above the lowest structure with this stoichiometry**: 0.374 eV/atom
**Electronic total energy**: -19.3 eV/f.u.
**Crystal system**: tetragonal

Cell lengths 8.3109, 8.3109, 8.3109 Å; angles 148.03, 148.03, 45.85 degrees
Atoms (fractional coordinates):
Ba (0.0000, 0.0000, 0.0000)
Ba (0.7500, 0.2500, 0.5000)
Ir (0.2500, 0.7500, 0.5000)
Ir (0.5000, 0.5000, 0.0000)
F (0.2156, 0.6250, 0.0906)
F (0.3750, 0.4656, 0.5906)
F (0.5344, 0.1250, 0.9094)
F (0.8750, 0.7844, 0.4094)